No. 1
Computed, not measured: a relaxed structure of SmNpS4 at the GGA-PBE level of DFT.

Values from the calculation:
N(E_F), states/eV per cell: 5.31
Energy, eV per atom: -7.063
Formation energy from raw total energies, eV per atom: -1.37

a = 6.308 Å, b = 6.308 Å, c = 4.132 Å
α = 90.00°, β = 90.00°, γ = 90.89°
Fractional coordinates of all 6 atoms:
Sm  0.000  0.000  0.000
Np  0.500  0.500  0.500
S  0.208  0.208  0.500
S  0.316  0.684  0.000
S  0.684  0.316  0.000
S  0.792  0.792  0.500

No. 2
Computed, not measured: a relaxed structure of Sm5Np3S8 at the GGA-PBE level of DFT.

Values from the calculation:
N(E_F), states/eV per cell: 29.32
Energy, eV per atom: -7.745
Formation energy from raw total energies, eV per atom: -1.78

a = 7.941 Å, b = 7.941 Å, c = 7.941 Å
α = 60.07°, β = 60.07°, γ = 60.07°
Fractional coordinates of all 16 atoms:
Sm  0.000  0.000  0.000
Sm  0.000  0.500  0.500
Sm  0.500  0.000  0.500
Sm  0.500  0.500  0.000
Sm  0.500  0.500  0.500
Np  0.000  0.000  0.500
Np  0.000  0.500  0.000
Np  0.500  0.000  0.000
S  0.244  0.750  0.750
S  0.247  0.247  0.247
S  0.250  0.250  0.756
S  0.250  0.756  0.250
S  0.750  0.244  0.750
S  0.750  0.750  0.244
S  0.753  0.753  0.753
S  0.756  0.250  0.250